*A*
# Ta2Mo5 | Alexandria via LeMat-Bulk | PBE | relaxed
data_Ta2Mo5
_space_group_name_H-M_alt 'P -1'
_space_group_IT_number 2
_space_group_name_Hall '-P 1'
_cell_length_a 2.793
_cell_length_b 6.941
_cell_length_c 6.952
_cell_angle_alpha 118.16
_cell_angle_beta 97.53
_cell_angle_gamma 97.71
loop_
_atom_site_label
_atom_site_fract_x
_atom_site_fract_y
_atom_site_fract_z
Ta1 0.206 0.355 0.281
Mo1 0.073 0.789 0.429
Mo2 0.363 0.927 0.145
Mo3 0.500 0.500 0.000
# - theoretical density (g/cm³) = 12.2
# - density of states at the Fermi level (states/eV/cell) = 2.9


*B*
# Ta2Mo5 | Alexandria via LeMat-Bulk | PBE | relaxed
data_Ta2Mo5
_space_group_name_H-M_alt 'C 1 2/m 1'
_space_group_IT_number 12
_space_group_name_Hall '-C 2y'
_cell_length_a 10.131
_cell_length_b 3.204
_cell_length_c 7.150
_cell_angle_alpha 90.00
_cell_angle_beta 98.06
_cell_angle_gamma 90.00
loop_
_atom_site_label
_atom_site_fract_x
_atom_site_fract_y
_atom_site_fract_z
Ta1 0.071 0.000 0.214
Mo1 0.000 0.500 0.500
Mo2 0.146 0.500 0.927
Mo3 0.212 0.000 0.641
# - theoretical density (g/cm³) = 12.2
# - density of states at the Fermi level (states/eV/cell) = 7.2


It comes down to *B*, which is 41 meV per atom more stable than the next structure.


*A*
# Ta2Mo5 | Alexandria via LeMat-Bulk | PBE | relaxed
data_Ta2Mo5
_space_group_name_H-M_alt 'F m m m'
_space_group_IT_number 69
_space_group_name_Hall '-F 2 2'
_cell_length_a 3.203
_cell_length_b 4.570
_cell_length_c 31.419
_cell_angle_alpha 90.00
_cell_angle_beta 90.00
_cell_angle_gamma 90.00
loop_
_atom_site_label
_atom_site_fract_x
_atom_site_fract_y
_atom_site_fract_z
Ta1 0.000 0.000 0.073
Mo1 0.000 0.000 0.215
Mo2 0.000 0.000 0.355
Mo3 0.000 0.000 0.500
# - theoretical density (g/cm³) = 12.2
# - density of states at the Fermi level (states/eV/cell) = 10.8


*B*
# Ta2Mo5 | Alexandria via LeMat-Bulk | PBE | relaxed
data_Ta2Mo5
_space_group_name_H-M_alt 'I 4/m m m'
_space_group_IT_number 139
_space_group_name_Hall '-I 4 2'
_cell_length_a 3.196
_cell_length_b 3.196
_cell_length_c 22.507
_cell_angle_alpha 90.00
_cell_angle_beta 90.00
_cell_angle_gamma 90.00
loop_
_atom_site_label
_atom_site_fract_x
_atom_site_fract_y
_atom_site_fract_z
Ta1 0.000 0.000 0.142
Mo1 0.000 0.000 0.000
Mo2 0.000 0.000 0.284
Mo3 0.000 0.000 0.430
# - theoretical density (g/cm³) = 12.2
# - density of states at the Fermi level (states/eV/cell) = 6.7


It comes down to *B*, which is 75 meV per atom more stable than the next structure.


*A*
# Ta3Mo5 | Alexandria via LeMat-Bulk | PBE | relaxed
data_Ta3Mo5
_space_group_name_H-M_alt 'A m m 2'
_space_group_IT_number 38
_space_group_name_Hall 'A 2 -2'
_cell_length_a 3.204
_cell_length_b 12.867
_cell_length_c 6.449
_cell_angle_alpha 90.00
_cell_angle_beta 90.00
_cell_angle_gamma 90.00
loop_
_atom_site_label
_atom_site_fract_x
_atom_site_fract_y
_atom_site_fract_z
Ta1 0.000 0.000 0.000
Ta2 0.500 0.127 0.736
Mo1 0.000 0.000 0.486
Mo2 0.000 0.250 0.488
Mo3 0.500 0.126 0.244
# - theoretical density (g/cm³) = 12.8
# - density of states at the Fermi level (states/eV/cell) = 8.5


*B*
# Ta3Mo5 | Alexandria via LeMat-Bulk | PBE | relaxed
data_Ta3Mo5
_space_group_name_H-M_alt 'R -3 m'
_space_group_IT_number 166
_space_group_name_Hall '-R 3 2"'
_cell_length_a 4.5560
_cell_length_b 4.5560
_cell_length_c 22.2029
_cell_angle_alpha 90.00
_cell_angle_beta 90.00
_cell_angle_gamma 120.00
loop_
_atom_site_label
_atom_site_fract_x
_atom_site_fract_y
_atom_site_fract_z
Ta1 0.0000 0.0000 0.0000
Ta2 0.0000 0.0000 0.2502
Mo1 0.0000 0.0000 0.1263
Mo2 0.0000 0.0000 0.3764
Mo3 0.0000 0.0000 0.5000
# - theoretical density (g/cm³) = 12.8
# - density of states at the Fermi level (states/eV/cell) = 11.8


*C*
# Ta3Mo5 | Alexandria via LeMat-Bulk | PBE | relaxed
data_Ta3Mo5
_space_group_name_H-M_alt 'P 1 2 1'
_space_group_IT_number 3
_space_group_name_Hall 'P 2y'
_cell_length_a 2.824
_cell_length_b 9.027
_cell_length_c 5.303
_cell_angle_alpha 90.00
_cell_angle_beta 99.92
_cell_angle_gamma 90.00
loop_
_atom_site_label
_atom_site_fract_x
_atom_site_fract_y
_atom_site_fract_z
Ta1 0.000 0.000 0.000
Ta2 0.254 0.739 0.749
Mo1 0.000 0.487 0.000
Mo2 0.252 0.246 0.749
Mo3 0.500 0.487 0.500
Mo4 0.500 0.998 0.500
# - theoretical density (g/cm³) = 12.8
# - density of states at the Fermi level (states/eV/cell) = 4.2


*D*
# Ta3Mo5 | Alexandria via LeMat-Bulk | PBE | relaxed
data_Ta3Mo5
_space_group_name_H-M_alt 'I m m 2'
_space_group_IT_number 44
_space_group_name_Hall 'I 2 -2'
_cell_length_a 3.221
_cell_length_b 4.520
_cell_length_c 18.257
_cell_angle_alpha 90.00
_cell_angle_beta 90.00
_cell_angle_gamma 90.00
loop_
_atom_site_label
_atom_site_fract_x
_atom_site_fract_y
_atom_site_fract_z
Ta1 0.000 0.000 0.000
Ta2 0.000 0.000 0.246
Ta3 0.000 0.500 0.369
Mo1 0.000 0.000 0.497
Mo2 0.000 0.000 0.744
Mo3 0.000 0.500 0.122
Mo4 0.000 0.500 0.622
Mo5 0.000 0.500 0.874
# - theoretical density (g/cm³) = 12.8
# - density of states at the Fermi level (states/eV/cell) = 12.5


It comes down to *B*, which is 15 meV per atom more stable than the next structure.


*A*
# TaMo4 | Alexandria via LeMat-Bulk | PBE | relaxed
data_TaMo4
_space_group_name_H-M_alt 'R -3 m'
_space_group_IT_number 166
_space_group_name_Hall '-R 3 2"'
_cell_length_a 4.5135
_cell_length_b 4.5135
_cell_length_c 13.8167
_cell_angle_alpha 90.00
_cell_angle_beta 90.00
_cell_angle_gamma 120.00
loop_
_atom_site_label
_atom_site_fract_x
_atom_site_fract_y
_atom_site_fract_z
Ta1 0.0000 0.0000 0.0000
Mo1 0.0000 0.0000 0.2020
Mo2 0.0000 0.0000 0.4014
# - theoretical density (g/cm³) = 11.5
# - density of states at the Fermi level (states/eV/cell) = 8.2


*B*
# TaMo4 | Alexandria via LeMat-Bulk | PBE | relaxed
data_TaMo4
_space_group_name_H-M_alt 'I 4/m m m'
_space_group_IT_number 139
_space_group_name_Hall '-I 4 2'
_cell_length_a 3.186
_cell_length_b 3.186
_cell_length_c 16.031
_cell_angle_alpha 90.00
_cell_angle_beta 90.00
_cell_angle_gamma 90.00
loop_
_atom_site_label
_atom_site_fract_x
_atom_site_fract_y
_atom_site_fract_z
Ta1 0.000 0.000 0.000
Mo1 0.000 0.000 0.199
Mo2 0.000 0.000 0.396
# - theoretical density (g/cm³) = 11.5
# - density of states at the Fermi level (states/eV/cell) = 3.8


It comes down to *B*, which is 15 meV per atom more stable than the next structure.


*A*
# Ta3Mo | Alexandria via LeMat-Bulk | PBE | relaxed
data_Ta3Mo
_space_group_name_H-M_alt 'F m -3 m'
_space_group_IT_number 225
_space_group_name_Hall '-F 4 2 3'
_cell_length_a 6.547
_cell_length_b 6.547
_cell_length_c 6.547
_cell_angle_alpha 90.00
_cell_angle_beta 90.00
_cell_angle_gamma 90.00
loop_
_atom_site_label
_atom_site_fract_x
_atom_site_fract_y
_atom_site_fract_z
Ta1 0.000 0.000 0.000
Ta2 0.250 0.250 0.250
Mo1 0.000 0.000 0.500
# - theoretical density (g/cm³) = 15.1
# - density of states at the Fermi level (states/eV/cell) = 22.2


*B*
# Ta3Mo | Alexandria via LeMat-Bulk | PBE | relaxed
data_Ta3Mo
_space_group_name_H-M_alt 'R -3 m'
_space_group_IT_number 166
_space_group_name_Hall '-R 3 2"'
_cell_length_a 4.6118
_cell_length_b 4.6118
_cell_length_c 22.9429
_cell_angle_alpha 90.00
_cell_angle_beta 90.00
_cell_angle_gamma 120.00
loop_
_atom_site_label
_atom_site_fract_x
_atom_site_fract_y
_atom_site_fract_z
Ta1 0.0000 0.0000 0.0648
Ta2 0.0000 0.0000 0.1916
Ta3 0.0000 0.0000 0.3163
Mo1 0.0000 0.0000 0.4390
# - theoretical density (g/cm³) = 15.1
# - density of states at the Fermi level (states/eV/cell) = 27.2


It comes down to *B*, which is 14 meV per atom more stable than the next structure.


*A*
# Ta3Mo | Alexandria via LeMat-Bulk | PBE | relaxed
data_Ta3Mo
_space_group_name_H-M_alt 'I 4/m m m'
_space_group_IT_number 139
_space_group_name_Hall '-I 4 2'
_cell_length_a 3.872
_cell_length_b 3.872
_cell_length_c 9.548
_cell_angle_alpha 90.00
_cell_angle_beta 90.00
_cell_angle_gamma 90.00
loop_
_atom_site_label
_atom_site_fract_x
_atom_site_fract_y
_atom_site_fract_z
Ta1 0.000 0.000 0.000
Ta2 0.000 0.500 0.250
Mo1 0.000 0.000 0.500
# - theoretical density (g/cm³) = 14.8
# - density of states at the Fermi level (states/eV/cell) = 9.5


*B*
# Ta3Mo | Alexandria via LeMat-Bulk | PBE | relaxed
data_Ta3Mo
_space_group_name_H-M_alt 'P m -3 m'
_space_group_IT_number 221
_space_group_name_Hall '-P 4 2 3'
_cell_length_a 4.882
_cell_length_b 4.882
_cell_length_c 4.882
_cell_angle_alpha 90.00
_cell_angle_beta 90.00
_cell_angle_gamma 90.00
loop_
_atom_site_label
_atom_site_fract_x
_atom_site_fract_y
_atom_site_fract_z
Ta1 0.000 0.000 0.500
Mo1 0.000 0.000 0.000
# - theoretical density (g/cm³) = 9.1
# - density of states at the Fermi level (states/eV/cell) = 8.4


It comes down to *A*, which is 2105 meV per atom more stable than the next structure.


*A*
# Ta3Mo | Alexandria via LeMat-Bulk | PBE | relaxed
data_Ta3Mo
_space_group_name_H-M_alt 'P 1 21/m 1'
_space_group_IT_number 11
_space_group_name_Hall '-P 2yb'
_cell_length_a 5.437
_cell_length_b 4.626
_cell_length_c 5.690
_cell_angle_alpha 90.00
_cell_angle_beta 100.77
_cell_angle_gamma 90.00
loop_
_atom_site_label
_atom_site_fract_x
_atom_site_fract_y
_atom_site_fract_z
Ta1 0.110 0.250 0.427
Ta2 0.140 0.250 0.936
Ta3 0.379 0.750 0.309
Mo1 0.373 0.750 0.808
# - theoretical density (g/cm³) = 15.1
# - density of states at the Fermi level (states/eV/cell) = 8.0


*B*
# Ta3Mo | Alexandria via LeMat-Bulk | PBE | relaxed
data_Ta3Mo
_space_group_name_H-M_alt 'C m m m'
_space_group_IT_number 65
_space_group_name_Hall '-C 2 2'
_cell_length_a 3.284
_cell_length_b 4.727
_cell_length_c 9.074
_cell_angle_alpha 90.00
_cell_angle_beta 90.00
_cell_angle_gamma 90.00
loop_
_atom_site_label
_atom_site_fract_x
_atom_site_fract_y
_atom_site_fract_z
Ta1 0.000 0.000 0.000
Ta2 0.000 0.500 0.259
Mo1 0.000 0.000 0.500
# - theoretical density (g/cm³) = 15.1
# - density of states at the Fermi level (states/eV/cell) = 10.8


It comes down to *A*, which is 63 meV per atom more stable than the next structure.


*A*
# Ta3Mo | Alexandria via LeMat-Bulk | PBE | relaxed
data_Ta3Mo
_space_group_name_H-M_alt 'R -3 m'
_space_group_IT_number 166
_space_group_name_Hall '-R 3 2"'
_cell_length_a 3.0629
_cell_length_b 3.0629
_cell_length_c 26.7220
_cell_angle_alpha 90.00
_cell_angle_beta 90.00
_cell_angle_gamma 120.00
loop_
_atom_site_label
_atom_site_fract_x
_atom_site_fract_y
_atom_site_fract_z
Ta1 0.0000 0.0000 0.0000
Ta2 0.0000 0.0000 0.2455
Mo1 0.0000 0.0000 0.5000
# - theoretical density (g/cm³) = 14.7
# - density of states at the Fermi level (states/eV/cell) = 10.9


*B*
# Ta3Mo | Alexandria via LeMat-Bulk | PBE | relaxed
data_Ta3Mo
_space_group_name_H-M_alt 'C m m m'
_space_group_IT_number 65
_space_group_name_Hall '-C 2 2'
_cell_length_a 6.569
_cell_length_b 13.081
_cell_length_c 3.267
_cell_angle_alpha 90.00
_cell_angle_beta 90.00
_cell_angle_gamma 90.00
loop_
_atom_site_label
_atom_site_fract_x
_atom_site_fract_y
_atom_site_fract_z
Ta1 0.000 0.122 0.000
Ta2 0.239 0.500 0.500
Ta3 0.250 0.250 0.500
Mo1 0.000 0.373 0.000
# - theoretical density (g/cm³) = 15.1
# - density of states at the Fermi level (states/eV/cell) = 15.1


*C*
# Ta3Mo | Alexandria via LeMat-Bulk | PBE | relaxed
data_Ta3Mo
_space_group_name_H-M_alt 'C m c m'
_space_group_IT_number 63
_space_group_name_Hall '-C 2c 2'
_cell_length_a 6.605
_cell_length_b 9.253
_cell_length_c 4.607
_cell_angle_alpha 90.00
_cell_angle_beta 90.00
_cell_angle_gamma 90.00
loop_
_atom_site_label
_atom_site_fract_x
_atom_site_fract_y
_atom_site_fract_z
Ta1 0.000 0.118 0.250
Ta2 0.242 0.375 0.250
Mo1 0.000 0.372 0.750
# - theoretical density (g/cm³) = 15.1
# - density of states at the Fermi level (states/eV/cell) = 20.1


*D*
# Ta3Mo | Alexandria via LeMat-Bulk | PBE | relaxed
data_Ta3Mo
_space_group_name_H-M_alt 'P m -3 m'
_space_group_IT_number 221
_space_group_name_Hall '-P 4 2 3'
_cell_length_a 4.171
_cell_length_b 4.171
_cell_length_c 4.171
_cell_angle_alpha 90.00
_cell_angle_beta 90.00
_cell_angle_gamma 90.00
loop_
_atom_site_label
_atom_site_fract_x
_atom_site_fract_y
_atom_site_fract_z
Ta1 0.000 0.000 0.500
Mo1 0.500 0.500 0.500
# - theoretical density (g/cm³) = 14.6
# - density of states at the Fermi level (states/eV/cell) = 3.8


It comes down to *B*, which is 17 meV per atom more stable than the next structure.